An optimized crystal structure of TbCe2NpP4, computed with PBE-GGA.

The structure in POSCAR format:
```
TbCe2NpP4
1.0
-2.3320 -0.2543 3.2918
5.5215 -2.1221 3.7476
-0.4332 6.9721 0.2318
Tb Ce Np P
1 2 1 4
Direct
0.5000 0.5000 0.0000
0.5000 0.0000 0.5000
0.0000 0.5000 0.5000
0.0000 0.0000 0.0000
0.5000 0.2443 0.2419
0.5000 0.7557 0.7581
0.0000 0.2481 0.7547
0.0000 0.7519 0.2453
```

Final energy   -0.28487 hartree per atom
Density   7.1 g cm⁻³
Formation energy from the elements   -1.3669 eV/atom